(1)
First-principles (GGA-PBE) data for a relaxed TlHgSe2 crystal, as listed in Alexandria.

Output
ΔE_f (raw)   -0.12 eV/atom
Space group   R-3m (166)
Magnetic moment   0.0 μB/f.u.

Lattice parameters (Å, degrees): 8.227 8.227 8.227 33.46 33.46 33.46
Fractional positions:
Tl 0.000 0.000 0.000
Hg 0.500 0.500 0.500
Se 0.394 0.394 0.394
Se 0.606 0.606 0.606

(2)
First-principles (GGA-PBE) data for a relaxed Tl4Hg3Se crystal, as listed in Alexandria.

Output
ΔE_f (raw)   -0.11 eV/atom
Space group   P2/c (13)
Magnetic moment   0.0 μB/f.u.

Lattice parameters (Å, degrees): 9.025 8.155 6.999 90.00 104.32 90.00
Fractional positions:
Tl 0.204 0.125 0.462
Tl 0.204 0.875 0.962
Tl 0.269 0.342 0.030
Tl 0.269 0.658 0.530
Tl 0.731 0.342 0.470
Tl 0.731 0.658 0.970
Tl 0.796 0.125 0.038
Tl 0.796 0.875 0.538
Hg 0.000 0.440 0.250
Hg 0.000 0.560 0.750
Hg 0.500 0.057 0.250
Hg 0.500 0.355 0.750
Hg 0.500 0.645 0.250
Hg 0.500 0.943 0.750
Se 0.000 0.153 0.750
Se 0.000 0.847 0.250

(3)
First-principles (GGA-PBE) data for a relaxed Tl2HgSe3 crystal, as listed in Alexandria.

Output
ΔE_f (raw)   -0.20 eV/atom
Space group   Pnma (62)
Magnetic moment   0.0 μB/f.u.

Lattice parameters (Å, degrees): 12.903 4.128 14.712 90.00 90.00 90.00
Fractional positions:
Tl 0.070 0.250 0.217
Tl 0.237 0.750 0.960
Tl 0.263 0.250 0.460
Tl 0.430 0.750 0.717
Tl 0.570 0.250 0.283
Tl 0.737 0.750 0.540
Tl 0.763 0.250 0.040
Tl 0.930 0.750 0.783
Hg 0.191 0.250 0.745
Hg 0.309 0.750 0.245
Hg 0.691 0.250 0.755
Hg 0.809 0.750 0.255
Se 0.047 0.250 0.872
Se 0.117 0.750 0.345
Se 0.236 0.750 0.631
Se 0.264 0.250 0.131
Se 0.383 0.250 0.845
Se 0.453 0.750 0.372
Se 0.547 0.250 0.628
Se 0.617 0.750 0.155
Se 0.736 0.750 0.869
Se 0.764 0.250 0.369
Se 0.883 0.250 0.655
Se 0.953 0.750 0.128

(4)
First-principles (GGA-PBE) data for a relaxed Tl6HgSe3 crystal, as listed in Alexandria.

Output
ΔE_f (raw)   -0.27 eV/atom
Space group   Cmc2_1 (36)
Magnetic moment   0.0 μB/f.u.
Energy above the lowest structure with this stoichiometry   25 meV per atom

Lattice parameters (Å, degrees): 8.824 8.824 9.044 90.00 90.00 96.82
Fractional positions:
Tl 0.051 0.949 0.500
Tl 0.066 0.542 0.392
Tl 0.223 0.777 0.823
Tl 0.301 0.393 0.009
Tl 0.393 0.301 0.509
Tl 0.458 0.934 0.392
Tl 0.542 0.066 0.892
Tl 0.607 0.699 0.009
Tl 0.699 0.607 0.509
Tl 0.777 0.223 0.323
Tl 0.934 0.458 0.892
Tl 0.949 0.051 0.000
Hg 0.173 0.827 0.174
Hg 0.827 0.173 0.674
Se 0.136 0.240 0.280
Se 0.240 0.136 0.780
Se 0.350 0.650 0.551
Se 0.650 0.350 0.051
Se 0.760 0.864 0.280
Se 0.864 0.760 0.780

(5)
First-principles (GGA-PBE) data for a relaxed Tl2HgSe crystal, as listed in Alexandria.

Output
ΔE_f (raw)   -0.27 eV/atom
Space group   R3m (160)
Magnetic moment   0.0 μB/f.u.
Energy above the lowest structure with this stoichiometry   0 meV per atom

Lattice parameters (Å, degrees): 8.522 8.522 8.522 30.40 30.40 30.40
Fractional positions:
Tl 0.000 0.000 0.000
Tl 0.197 0.197 0.197
Hg 0.431 0.431 0.431
Se 0.598 0.598 0.598

(6)
First-principles (GGA-PBE) data for a relaxed TlHg2Se2 crystal, as listed in Alexandria.

Output
ΔE_f (raw)   -0.03 eV/atom
Space group   P4/mbm (127)
Magnetic moment   0.0 μB/f.u.
Energy above the lowest structure with this stoichiometry   126 meV per atom

Lattice parameters (Å, degrees): 8.501 8.501 3.845 90.00 90.00 90.00
Fractional positions:
Tl 0.000 0.000 0.000
Tl 0.500 0.500 0.000
Hg 0.114 0.386 0.000
Hg 0.386 0.886 0.000
Hg 0.614 0.114 0.000
Hg 0.886 0.614 0.000
Se 0.225 0.725 0.500
Se 0.275 0.225 0.500
Se 0.725 0.775 0.500
Se 0.775 0.275 0.500

(7)
First-principles (GGA-PBE) data for a relaxed TlHgSe2 crystal, as listed in Alexandria.

Output
ΔE_f (raw)   0.26 eV/atom
Space group   R-3m (166)
Magnetic moment   0.0 μB/f.u.

Lattice parameters (Å, degrees): 12.636 12.636 12.636 14.18 14.18 14.18
Fractional positions:
Tl 0.000 0.000 0.000
Hg 0.500 0.500 0.500
Se 0.255 0.255 0.255
Se 0.745 0.745 0.745

(8)
First-principles (GGA-PBE) data for a relaxed Tl2HgSe crystal, as listed in Alexandria.

Output
ΔE_f (raw)   -0.01 eV/atom
Space group   Immm (71)
Magnetic moment   0.0 μB/f.u.
Energy above the lowest structure with this stoichiometry   257 meV per atom

Lattice parameters (Å, degrees): 7.017 7.017 7.017 143.69 143.25 52.62
Fractional positions:
Tl 0.232 0.232 0.000
Tl 0.768 0.768 0.000
Hg 0.500 0.500 0.000
Se 0.000 0.000 0.000

(9)
First-principles (GGA-PBE) data for a relaxed TlHg2Se crystal, as listed in Alexandria.

Output
ΔE_f (raw)   -0.03 eV/atom
Space group   P4mm (99)
Magnetic moment   0.0 μB/f.u.

Lattice parameters (Å, degrees): 3.854 3.854 7.430 90.00 90.00 90.00
Fractional positions:
Tl 0.000 0.000 0.000
Hg 0.000 0.000 0.554
Hg 0.500 0.500 0.315
Se 0.500 0.500 0.780

(10)
First-principles (GGA-PBE) data for a relaxed Tl12Hg2Se5 crystal, as listed in Alexandria.

Output
ΔE_f (raw)   -0.23 eV/atom
Space group   C2/m (12)
Magnetic moment   0.0 μB/f.u.

Lattice parameters (Å, degrees): 10.196 10.196 8.819 101.91 101.91 45.23
Fractional positions:
Tl 0.037 0.037 0.263
Tl 0.063 0.570 0.354
Tl 0.104 0.653 0.012
Tl 0.347 0.896 0.988
Tl 0.398 0.398 0.691
Tl 0.430 0.937 0.646
Tl 0.570 0.063 0.354
Tl 0.602 0.602 0.309
Tl 0.653 0.104 0.012
Tl 0.896 0.347 0.988
Tl 0.937 0.430 0.646
Tl 0.963 0.963 0.737
Hg 0.281 0.719 0.500
Hg 0.719 0.281 0.500
Se 0.196 0.196 0.381
Se 0.273 0.273 0.885
Se 0.500 0.500 0.000
Se 0.727 0.727 0.115
Se 0.804 0.804 0.619